Entry 1:
Material: YSnAuSe3
Method: DFT, PBE
State: relaxed

a b c (Å): 10.679 4.078 13.625
angles (deg): 90.00 90.00 90.00
Atoms (fractional coordinates):
Y1 0.018 0.250 0.244
Y2 0.482 0.750 0.744
Y3 0.518 0.250 0.256
Y4 0.982 0.750 0.756
Sn1 0.222 0.750 0.514
Sn2 0.278 0.250 0.014
Sn3 0.722 0.750 0.986
Sn4 0.778 0.250 0.486
Au1 0.241 0.250 0.716
Au2 0.259 0.750 0.216
Au3 0.741 0.250 0.784
Au4 0.759 0.750 0.284
Se1 0.035 0.250 0.608
Se2 0.071 0.750 0.098
Se3 0.234 0.750 0.846
Se4 0.266 0.250 0.346
Se5 0.429 0.250 0.598
Se6 0.465 0.750 0.108
Se7 0.535 0.250 0.892
Se8 0.571 0.750 0.402
Se9 0.734 0.750 0.654
Se10 0.766 0.250 0.154
Se11 0.929 0.250 0.902
Se12 0.965 0.750 0.392

Properties
Energy above the lowest structure with this stoichiometry   0.061 eV/atom
Calculated volume   24.72 Å³ per atom
Total moment   0.00 μB/f.u.
Space group   No. 62

Entry 2:
Material: YSnAuSe3
Method: DFT, PBE
State: relaxed

a b c (Å): 7.156 7.156 10.628
angles (deg): 90.00 90.00 147.06
Atoms (fractional coordinates):
Y1 0.000 0.000 0.000
Y2 0.000 0.000 0.500
Sn1 0.231 0.769 0.750
Sn2 0.769 0.231 0.250
Au1 0.466 0.534 0.250
Au2 0.534 0.466 0.750
Se1 0.095 0.905 0.250
Se2 0.353 0.647 0.053
Se3 0.353 0.647 0.447
Se4 0.647 0.353 0.553
Se5 0.647 0.353 0.947
Se6 0.905 0.095 0.750

Properties
Energy above the lowest structure with this stoichiometry   0.063 eV/atom
Calculated volume   24.66 Å³ per atom
Total moment   0.00 μB/f.u.
Space group   No. 63

Entry 3:
Material: YSnAuSe3
Method: DFT, PBE
State: relaxed

a b c (Å): 10.080 4.203 15.473
angles (deg): 90.00 90.00 90.00
Atoms (fractional coordinates):
Y1 0.179 0.250 0.022
Y2 0.321 0.750 0.522
Y3 0.679 0.250 0.478
Y4 0.821 0.750 0.978
Sn1 0.036 0.750 0.289
Sn2 0.464 0.250 0.789
Sn3 0.536 0.750 0.211
Sn4 0.964 0.250 0.711
Au1 0.242 0.250 0.328
Au2 0.258 0.750 0.828
Au3 0.742 0.250 0.172
Au4 0.758 0.750 0.672
Se1 0.025 0.750 0.106
Se2 0.147 0.250 0.475
Se3 0.153 0.750 0.684
Se4 0.347 0.250 0.184
Se5 0.353 0.750 0.975
Se6 0.475 0.250 0.606
Se7 0.525 0.750 0.394
Se8 0.647 0.250 0.025
Se9 0.653 0.750 0.816
Se10 0.847 0.250 0.316
Se11 0.853 0.750 0.525
Se12 0.975 0.250 0.894

Properties
Energy above the lowest structure with this stoichiometry   0.000 eV/atom
Calculated volume   27.31 Å³ per atom
Total moment   0.00 μB/f.u.
Space group   No. 62

Entry 4:
Material: YSnAuSe3
Method: DFT, PBE
State: relaxed

a b c (Å): 7.863 4.057 9.995
angles (deg): 90.00 106.69 90.00
Atoms (fractional coordinates):
Y1 0.196 0.250 0.165
Y2 0.804 0.750 0.835
Sn1 0.230 0.750 0.701
Sn2 0.770 0.250 0.299
Au1 0.395 0.750 0.403
Au2 0.605 0.250 0.597
Se1 0.076 0.250 0.865
Se2 0.196 0.250 0.461
Se3 0.456 0.750 0.162
Se4 0.544 0.250 0.838
Se5 0.804 0.750 0.539
Se6 0.924 0.750 0.135

Properties
Energy above the lowest structure with this stoichiometry   0.061 eV/atom
Calculated volume   25.45 Å³ per atom
Total moment   0.01 μB/f.u.
Space group   No. 11

Entry 5:
Material: YSnAuSe3
Method: DFT, PBE
State: relaxed

a b c (Å): 13.575 4.069 11.014
angles (deg): 90.00 90.00 90.00
Atoms (fractional coordinates):
Y1 0.011 0.250 0.173
Y2 0.489 0.750 0.673
Y3 0.511 0.250 0.327
Y4 0.989 0.750 0.827
Sn1 0.219 0.250 0.450
Sn2 0.281 0.750 0.950
Sn3 0.719 0.250 0.050
Sn4 0.781 0.750 0.550
Au1 0.009 0.750 0.405
Au2 0.491 0.250 0.905
Au3 0.509 0.750 0.095
Au4 0.991 0.250 0.595
Se1 0.110 0.250 0.941
Se2 0.126 0.750 0.625
Se3 0.151 0.750 0.246
Se4 0.349 0.250 0.746
Se5 0.374 0.250 0.125
Se6 0.390 0.750 0.441
Se7 0.610 0.250 0.559
Se8 0.626 0.750 0.875
Se9 0.651 0.750 0.254
Se10 0.849 0.250 0.754
Se11 0.874 0.250 0.375
Se12 0.890 0.750 0.059

Properties
Energy above the lowest structure with this stoichiometry   0.060 eV/atom
Calculated volume   25.35 Å³ per atom
Total moment   0.00 μB/f.u.
Space group   No. 62

Entry 6:
Material: SrTbAuSe3
Method: DFT, PBE
State: relaxed

a b c (Å): 9.431 9.431 8.480
angles (deg): 101.08 101.08 25.08
Atoms (fractional coordinates):
Sr1 0.127 0.127 0.079
Sr2 0.873 0.873 0.921
Tb1 0.164 0.164 0.594
Tb2 0.836 0.836 0.406
Au1 0.454 0.454 0.285
Au2 0.546 0.546 0.715
Se1 0.000 0.000 0.500
Se2 0.313 0.313 0.158
Se3 0.325 0.325 0.638
Se4 0.500 0.500 0.000
Se5 0.675 0.675 0.362
Se6 0.687 0.687 0.842

Properties
Calculated volume   26.12 Å³ per atom
Total moment   0.00 μB/f.u.
Space group   No. 12

Values for calculated density, g/cm3, ordered as above
7.18 7.20 6.50 6.98 7.00 7.21
Values for final energy, eV per atom, ordered as above
-4.90 -4.90 -4.97 -4.90 -4.91 -4.78